P | TbHo3Rh2 | PBE | relaxed

a b c (Å): 4.680 7.151 8.669
angles (deg): 90.00 90.00 90.00
Positions (direct):
Tb: 0.500 0.512 0.585
Rh: 0.000 0.756 0.338
Ho: 0.500 0.641 0.167
Ho: 0.000 0.988 0.084
Ho: 0.000 0.859 0.669
Ho: 0.500 0.141 0.833
Rh: 0.000 0.256 0.662
Tb: 0.500 0.012 0.415
Ho: 0.000 0.488 0.916
Rh: 0.500 0.244 0.160
Rh: 0.500 0.744 0.840
Ho: 0.000 0.359 0.331

Computed properties:
V (A^3/atom): 24.173
Total magnetization (μB per cell): 0.000
Symmetry: Pmc2_1 (26)


Q | TbHo3Rh2 | PBE | relaxed

a b c (Å): 6.694 7.042 8.327
angles (deg): 115.01 113.70 90.00
Positions (direct):
Ho: 0.767 0.517 0.534
Ho: 0.500 0.250 0.000
Rh: 0.849 0.138 0.277
Ho: 0.233 0.483 0.466
Rh: 0.151 0.862 0.723
Tb: 0.000 0.000 0.000
Rh: 0.427 0.638 0.277
Ho: 0.233 0.983 0.466
Ho: 0.500 0.750 0.000
Ho: 0.767 0.017 0.534
Tb: 0.000 0.500 0.000
Rh: 0.573 0.362 0.723

Computed properties:
V (A^3/atom): 26.566
Total magnetization (μB per cell): 0.000
Symmetry: Ibam (72)


Most stable = P


P | Tb2Ho2Rh3 | PBE | relaxed

a b c (Å): 4.799 4.793 8.428
angles (deg): 89.92 106.65 120.02
Positions (direct):
Tb: 0.751 0.875 0.626
Ho: 0.249 0.624 0.874
Rh: 0.000 0.000 0.000
Rh: 0.498 0.749 0.246
Rh: 0.502 0.251 0.754
Ho: 0.751 0.376 0.126
Tb: 0.249 0.125 0.374

Computed properties:
V (A^3/atom): 22.635
Total magnetization (μB per cell): 0.000
Symmetry: C2/m (12)


Q | Tb2Ho2Rh3 | PBE | relaxed

a b c (Å): 4.826 7.680 4.789
angles (deg): 71.92 90.18 108.19
Positions (direct):
Ho: 0.128 0.253 0.372
Rh: 0.252 0.504 0.748
Rh: 0.000 0.000 0.000
Rh: 0.748 0.496 0.252
Tb: 0.373 0.748 0.127
Tb: 0.627 0.252 0.873
Ho: 0.872 0.747 0.628

Computed properties:
V (A^3/atom): 22.778
Total magnetization (μB per cell): 0.000
Symmetry: P-1 (2)


Most stable = P


P | Ho5Te2Rh | PBE | relaxed

a b c (Å): 5.519 7.926 13.211
angles (deg): 90.00 90.00 110.38
Positions (direct):
Te: 0.879 0.758 0.392
Rh: 0.780 0.559 0.750
Ho: 0.711 0.422 0.250
Ho: 0.087 0.174 0.117
Ho: 0.087 0.174 0.383
Ho: 0.913 0.826 0.883
Te: 0.121 0.242 0.892
Te: 0.879 0.758 0.108
Ho: 0.690 0.381 0.953
Rh: 0.220 0.441 0.250
Ho: 0.310 0.619 0.047
Ho: 0.913 0.826 0.617
Ho: 0.289 0.578 0.750
Te: 0.121 0.242 0.608
Ho: 0.310 0.619 0.453
Ho: 0.690 0.381 0.547

Computed properties:
V (A^3/atom): 33.860
Total magnetization (μB per cell): 0.000
Symmetry: Cmcm (63)


Q | Ho5Te2Rh | PBE | relaxed

a b c (Å): 4.068 8.160 13.144
angles (deg): 90.00 90.00 90.00
Positions (direct):
Te: 0.500 0.962 0.679
Ho: 0.500 0.831 0.915
Ho: 0.000 0.335 0.316
Ho: 0.500 0.331 0.585
Ho: 0.500 0.669 0.415
Ho: 0.000 0.835 0.184
Ho: 0.500 0.169 0.085
Ho: 0.000 0.165 0.816
Te: 0.500 0.038 0.321
Rh: 0.000 0.000 0.000
Ho: 0.000 0.000 0.500
Ho: 0.000 0.665 0.684
Ho: 0.000 0.500 0.000
Te: 0.500 0.462 0.821
Rh: 0.000 0.500 0.500
Te: 0.500 0.538 0.179

Computed properties:
V (A^3/atom): 27.273
Total magnetization (μB per cell): 0.000
Symmetry: Pbam (55)


Most stable = Q


P | Ho5Te4Rh | PBE | relaxed

a b c (Å): 6.107 7.472 7.472
angles (deg): 80.39 65.88 65.88
Positions (direct):
Te: 0.588 0.603 0.223
Ho: 0.500 0.000 0.000
Te: 0.414 0.397 0.777
Ho: 0.262 0.833 0.645
Te: 0.811 0.777 0.603
Rh: 0.001 0.000 0.000
Ho: 0.907 0.355 0.833
Ho: 0.095 0.645 0.167
Ho: 0.740 0.167 0.355
Te: 0.191 0.223 0.397

Computed properties:
V (A^3/atom): 28.402
Total magnetization (μB per cell): 0.002
Symmetry: I4/m (87)


Q | Ho5Te4Rh | PBE | relaxed

a b c (Å): 4.229 4.229 15.834
angles (deg): 97.67 97.67 90.00
Positions (direct):
Ho: 0.711 0.711 0.422
Te: 0.394 0.394 0.789
Ho: 0.083 0.083 0.167
Ho: 0.500 0.500 0.000
Rh: 0.000 0.000 0.000
Ho: 0.289 0.289 0.578
Te: 0.810 0.810 0.620
Te: 0.606 0.606 0.211
Te: 0.190 0.190 0.380
Ho: 0.917 0.917 0.833

Computed properties:
V (A^3/atom): 27.805
Total magnetization (μB per cell): 0.000
Symmetry: I4/mmm (139)


Most stable = P


P | Ho7Te2Rh2 | PBE | relaxed

a b c (Å): 3.909 9.398 9.398
angles (deg): 60.50 78.00 78.00
Positions (direct):
Rh: 0.261 0.332 0.145
Ho: 0.631 0.475 0.263
Ho: 0.183 0.715 0.919
Te: 0.000 0.759 0.241
Ho: 0.852 0.406 0.889
Ho: 0.500 0.024 0.976
Ho: 0.369 0.737 0.525
Ho: 0.817 0.081 0.285
Ho: 0.148 0.111 0.594
Te: 0.500 0.360 0.640
Rh: 0.739 0.855 0.668

Computed properties:
V (A^3/atom): 26.515
Total magnetization (μB per cell): 0.000
Symmetry: Imm2 (44)


Q | Ho7Te2Rh2 | PBE | relaxed

a b c (Å): 7.719 7.077 7.077
angles (deg): 107.24 98.13 98.13
Positions (direct):
Te: 0.500 0.299 0.701
Ho: 0.796 0.073 0.537
Ho: 0.796 0.537 0.073
Rh: 0.862 0.265 0.265
Te: 0.500 0.701 0.299
Rh: 0.138 0.735 0.735
Ho: 0.204 0.927 0.463
Ho: 0.201 0.432 0.432
Ho: 0.799 0.568 0.568
Ho: 0.204 0.463 0.927
Ho: 0.000 0.000 0.000

Computed properties:
V (A^3/atom): 32.598
Total magnetization (μB per cell): 0.003
Symmetry: C2/m (12)


Most stable = P


P | Ho3Te2Rh | PBE | relaxed

a b c (Å): 9.661 9.661 9.661
angles (deg): 154.75 154.75 36.01
Positions (direct):
Te: 0.322 0.322 0.000
Rh: 0.000 0.000 0.000
Ho: 0.860 0.860 0.000
Ho: 0.500 0.500 0.000
Te: 0.678 0.678 0.000
Ho: 0.140 0.140 0.000

Computed properties:
V (A^3/atom): 27.318
Total magnetization (μB per cell): 0.000
Symmetry: I4/mmm (139)


Q | Ho3Te2Rh | PBE | relaxed

a b c (Å): 4.129 5.999 7.891
angles (deg): 112.34 90.00 90.00
Positions (direct):
Te: 0.500 0.660 0.321
Ho: 0.500 0.877 0.753
Ho: 0.500 0.123 0.247
Te: 0.500 0.340 0.679
Ho: 0.000 0.500 0.000
Rh: 0.000 0.000 0.000

Computed properties:
V (A^3/atom): 30.130
Total magnetization (μB per cell): 0.000
Symmetry: Cmmm (65)


Most stable = P